KCu2HS: relaxed, PBEsol.

abc: 4.1776 4.1776 6.4448
angles: 90.00 90.00 90.00
Closest atoms and distances in Å follow each position.
Positions (direct):
H: 0.5000 0.5000 0.5000  4 K 2.95
K: 0.0000 0.0000 0.5000  4 H 2.95, 2 S 3.22
S: 0.0000 0.0000 0.0000  4 Cu 2.09
Cu: 0.0000 0.5000 0.0000  2 S 2.09
Cu: 0.5000 0.0000 0.0000  2 S 2.09

VASP energy ... -3.4079 eV/atom
Calculated volume ... 112.48 Å³/cell
Space-group type ... P4/mmm, No. 123
DOS at the Fermi energy ... 1.402 states/eV per cell